Record 1
# NaSb6Au12 (PBE, optimized geometry)
# **ΔE_f (raw)**: -0.03 eV/atom
# **V**: 22.675 Å³ per atom
data_NaSb6Au12
_chemical_formula_sum 'Na3 Sb18 Au36'
_cell_length_a 13.7868
_cell_length_b 13.7868
_cell_length_c 7.8519
_cell_angle_alpha 90.00
_cell_angle_beta 90.00
_cell_angle_gamma 120.00
_symmetry_space_group_name_H-M 'R -3'
_symmetry_Int_Tables_number 148
_symmetry_space_group_name_Hall '-R 3'
loop_
_atom_site_label
_atom_site_type_symbol
_atom_site_fract_x
_atom_site_fract_y
_atom_site_fract_z
_atom_site_occupancy
Na1 Na 0.0000 0.0000 0.0000 1
Sb1 Sb 0.0110 0.2224 0.3277 1
Au1 Au 0.0044 0.2022 0.6860 1
Au2 Au 0.0855 0.5467 0.6633 1


Record 2
# CsBa3Sn (PBE, optimized geometry)
# **DFT formation energy**: 0.638 eV per atom
# **V**: 51.525 Å³ per atom
# **E above lowest polymorph**: 4.08 eV/f.u.
data_CsBa3Sn
_chemical_formula_sum 'Cs1 Ba3 Sn1'
_cell_length_a 6.363
_cell_length_b 6.363
_cell_length_c 6.363
_cell_angle_alpha 90.00
_cell_angle_beta 90.00
_cell_angle_gamma 90.00
_symmetry_space_group_name_H-M 'P m -3 m'
_symmetry_Int_Tables_number 221
_symmetry_space_group_name_Hall '-P 4 2 3'
loop_
_atom_site_label
_atom_site_type_symbol
_atom_site_fract_x
_atom_site_fract_y
_atom_site_fract_z
_atom_site_occupancy
Cs1 Cs 0.000 0.000 0.000 1
Ba1 Ba 0.000 0.000 0.500 1
Sn1 Sn 0.500 0.500 0.500 1


Record 3
# Cs2BH2 (PBE, optimized geometry)
# **VASP energy**: -1.893 eV/atom
# **V**: 36.613 Å³ per atom
data_Cs2BH2
_chemical_formula_sum 'Cs4 B2 H4'
_cell_length_a 5.206
_cell_length_b 5.206
_cell_length_c 13.510
_cell_angle_alpha 90.00
_cell_angle_beta 90.00
_cell_angle_gamma 90.00
_symmetry_space_group_name_H-M 'I 4/m m m'
_symmetry_Int_Tables_number 139
_symmetry_space_group_name_Hall '-I 4 2'
loop_
_atom_site_label
_atom_site_type_symbol
_atom_site_fract_x
_atom_site_fract_y
_atom_site_fract_z
_atom_site_occupancy
Cs1 Cs 0.000 0.000 0.152 1
B1 B 0.000 0.000 0.500 1
H1 H 0.000 0.500 0.250 1


Record 4
# LaZrSe2 (PBE, optimized geometry)
# **ΔE_f (raw)**: -1.03 eV/atom
# **V**: 32.620 Å³ per atom
# **E above lowest polymorph**: 1.92 eV/f.u.
data_LaZrSe2
_chemical_formula_sum 'La4 Zr4 Se8'
_cell_length_a 6.319
_cell_length_b 6.319
_cell_length_c 13.070
_cell_angle_alpha 90.00
_cell_angle_beta 90.00
_cell_angle_gamma 90.00
_symmetry_space_group_name_H-M 'I -4 2 d'
_symmetry_Int_Tables_number 122
_symmetry_space_group_name_Hall 'I -4 2bw'
loop_
_atom_site_label
_atom_site_type_symbol
_atom_site_fract_x
_atom_site_fract_y
_atom_site_fract_z
_atom_site_occupancy
La1 La 0.000 0.000 0.000 1
Zr1 Zr 0.000 0.000 0.500 1
Se1 Se 0.208 0.250 0.625 1


Question: Among the records above, which one has the highest V?
Answer: CsBa3Sn